(1)
Computed, not measured: a geometry-optimized SbH2W structure at the PBE-GGA level of DFT.

Values from the calculation:
ΔE to the lowest computed polymorph ... 0.000 eV/atom
Symmetry ... I-42d

Cell lengths 5.865, 5.865, 4.956 Å; angles 53.72, 53.72, 90.00 degrees
Fractional positions:
Sb: 0.500 0.500 0.000
Sb: 0.250 0.750 0.500
W: 0.000 0.000 0.000
W: 0.750 0.250 0.500
H: 0.720 0.125 0.250
H: 0.030 0.625 0.250
H: 0.375 0.280 0.750
H: 0.875 0.970 0.750



(2)
Computed, not measured: a geometry-optimized LaTa2Zn structure at the PBE-GGA level of DFT.

Values from the calculation:
Energy of formation ... 0.622 eV/atom
Symmetry ... Cmmm

Cell lengths 5.698, 5.698, 2.852 Å; angles 90.00, 90.00, 116.16 degrees
Fractional positions:
La: 0.000 0.500 0.500
Ta: 0.000 0.000 0.000
Ta: 0.500 0.500 0.000
Zn: 0.500 0.000 0.500



(3)
Computed, not measured: a geometry-optimized Na4CaSn2 structure at the PBE-GGA level of DFT.

Values from the calculation:
Energy of formation ... -0.180 eV/atom
Symmetry ... Cmmm

Cell lengths 4.680, 4.672, 10.448 Å; angles 102.92, 90.00, 90.00 degrees
Fractional positions:
Na: 0.500 0.826 0.652
Na: 0.000 0.673 0.346
Na: 0.500 0.174 0.348
Na: 0.000 0.327 0.654
Ca: 0.000 0.000 0.000
Sn: 0.500 0.568 0.135
Sn: 0.500 0.432 0.865



(4)
Computed, not measured: a geometry-optimized NaLi2La structure at the PBE-GGA level of DFT.

Values from the calculation:
ΔE to the lowest computed polymorph ... 0.000 eV/atom
Energy of formation ... 0.103 eV/atom
Symmetry ... Cm

Cell lengths 3.457, 3.457, 11.640 Å; angles 81.71, 81.71, 60.15 degrees
Fractional positions:
Na: 0.667 0.667 0.000
Li: 0.083 0.083 0.753
Li: 0.250 0.250 0.247
La: 0.500 0.500 0.500



(5)
Computed, not measured: a geometry-optimized TlICl3 structure at the PBE-GGA level of DFT.

Values from the calculation:
ΔE to the lowest computed polymorph ... 0.000 eV/atom
Energy relative to the elements, uncorrected ... -0.50 eV per atom
Symmetry ... P-1

Cell lengths 5.102, 8.281, 9.440 Å; angles 68.26, 76.13, 87.54 degrees
Fractional positions:
Tl: 0.060 0.272 0.757
Tl: 0.424 0.632 0.025
I: 0.841 0.838 0.541
I: 0.644 0.066 0.242
Cl: 0.468 0.272 0.963
Cl: 0.017 0.633 0.819
Cl: 0.418 0.277 0.360
Cl: 0.621 0.022 0.694
Cl: 0.863 0.882 0.088
Cl: 0.067 0.627 0.423



(6)
Computed, not measured: a geometry-optimized CaSm3Cd2 structure at the PBE-GGA level of DFT.

Values from the calculation:
ΔE to the lowest computed polymorph ... 0.061 eV/atom
Energy of formation ... -0.141 eV/atom
Symmetry ... C2/m

Cell lengths 5.522, 9.426, 9.268 Å; angles 125.42, 90.00, 107.03 degrees
Fractional positions:
Ca: 0.864 0.728 0.915
Ca: 0.136 0.272 0.085
Sm: 0.310 0.620 0.619
Sm: 0.940 0.880 0.596
Sm: 0.618 0.236 0.693
Sm: 0.382 0.764 0.307
Sm: 0.060 0.120 0.404
Sm: 0.690 0.380 0.381
Cd: 0.527 0.053 0.884
Cd: 0.473 0.947 0.116
Cd: 0.767 0.535 0.138
Cd: 0.233 0.465 0.862